(1)
This record from Alexandria via LeMat-Bulk describes crystalline NiRhF6 at its relaxed geometry. The functional is GGA+U.

## Properties
- Spin magnetization: 3.0 μB/cell
- N(E_F): 7.92 states/eV/f.u.
- Uncorrected energy: -35.0 eV/cell
- Space-group type: R-3

Lattice parameters (Å, degrees): 5.0427 5.0405 5.4163 62.27 62.31 60.00
With the nearest neighbours (Å) after each atom.
Sites, in units of the cell vectors:
Ni 0.5000 0.5000 0.5000  6 F 2.02
Rh 0.0000 0.0000 0.0000  6 F 1.95
F 0.7582 0.1021 0.7519  1 Rh 1.95, 1 Ni 2.02
F 0.3875 0.7579 0.7522  1 Rh 1.95, 1 Ni 2.02
F 0.8977 0.6125 0.2483  1 Rh 1.95, 1 Ni 2.02
F 0.6125 0.2421 0.2478  1 Rh 1.95, 1 Ni 2.02
F 0.2418 0.8979 0.2481  1 Rh 1.95, 1 Ni 2.02
F 0.1023 0.3875 0.7517  1 Rh 1.95, 1 Ni 2.02

---

(2)
This record from Alexandria via LeMat-Bulk describes crystalline NiRhF2 at its relaxed geometry. The functional is GGA+U.

## Properties
- Spin magnetization: 6.4 μB/cell
- Energy above the most stable polymorph in this dataset: 0 meV per atom
- N(E_F): 3.35 states/eV/f.u.
- Uncorrected energy: -31.3 eV/cell
- Space-group type: I-42d

Lattice parameters (Å, degrees): 6.1222 6.1222 5.1110 53.21 53.21 90.00
With the nearest neighbours (Å) after each atom.
Sites, in units of the cell vectors:
Ni 0.5000 0.5000 0.0000  4 F 2.06
Ni 0.2500 0.7500 0.5000  4 F 2.06
Rh 0.0000 0.0000 0.0000  4 F 2.50, 2 Ni 2.72
Rh 0.7500 0.2500 0.5000  4 F 2.50, 2 Ni 2.72
F 0.5711 0.1250 0.2500  2 Ni 2.06
F 0.1789 0.6250 0.2500  2 Ni 2.06
F 0.3750 0.4289 0.7500  2 Ni 2.06
F 0.8750 0.8211 0.7500  2 Ni 2.06

---

(3)
This record from Alexandria via LeMat-Bulk describes crystalline Ni3RhF at its relaxed geometry. The functional is GGA+U.

## Properties
- Spin magnetization: 4.1 μB/cell
- Energy above the most stable polymorph in this dataset: 0 meV per atom
- N(E_F): 4.42 states/eV/f.u.
- Uncorrected energy: -15.3 eV/cell
- Space-group type: Pm-3m

Lattice parameters (Å, degrees): 4.0201 4.0201 4.0201 90.00 90.00 90.00
With the nearest neighbours (Å) after each atom.
Sites, in units of the cell vectors:
Ni 0.0000 0.5000 0.0000  2 F 2.01
Ni 0.0000 0.0000 0.5000  2 F 2.01
Ni 0.5000 0.0000 0.0000  2 F 2.01
Rh 0.5000 0.5000 0.5000  12 Ni 2.84
F 0.0000 0.0000 0.0000  6 Ni 2.01

---

(4)
This record from Alexandria via LeMat-Bulk describes crystalline NiRh2F2 at its relaxed geometry. The functional is GGA+U.

## Properties
- Spin magnetization: 4.0 μB/cell
- Energy above the most stable polymorph in this dataset: 220 meV per atom
- N(E_F): 2.28 states/eV/f.u.
- Uncorrected energy: -41.1 eV/cell
- Space-group type: P4/mbm

Lattice parameters (Å, degrees): 6.7657 6.7657 3.0136 90.00 90.00 90.00
With the nearest neighbours (Å) after each atom.
Sites, in units of the cell vectors:
Ni 0.0000 0.0000 0.0000  4 Rh 2.68, 8 F 2.85
Ni 0.5000 0.5000 0.0000  4 Rh 2.68, 8 F 2.85
Rh 0.3769 0.8769 0.0000  2 F 2.16, 1 Rh 2.35
Rh 0.8769 0.6231 0.0000  2 F 2.16, 1 Rh 2.35
Rh 0.6231 0.1231 0.0000  2 F 2.16, 1 Rh 2.35
Rh 0.1231 0.3769 0.0000  2 F 2.16, 1 Rh 2.35
F 0.2157 0.7157 0.5000  2 Rh 2.16
F 0.7157 0.7843 0.5000  2 Rh 2.16
F 0.7843 0.2843 0.5000  2 Rh 2.16
F 0.2843 0.2157 0.5000  2 Rh 2.16

---

(5)
This record from Alexandria via LeMat-Bulk describes crystalline NiRh3F at its relaxed geometry. The functional is GGA+U.

## Properties
- Spin magnetization: 4.8 μB/cell
- Energy above the most stable polymorph in this dataset: 0 meV per atom
- N(E_F): 6.12 states/eV/f.u.
- Uncorrected energy: -21.0 eV/cell
- Space-group type: Pm-3m

Lattice parameters (Å, degrees): 4.2056 4.2056 4.2056 90.00 90.00 90.00
With the nearest neighbours (Å) after each atom.
Sites, in units of the cell vectors:
Ni 0.5000 0.5000 0.5000  12 Rh 2.97
Rh 0.0000 0.5000 0.0000  2 F 2.10
Rh 0.0000 0.0000 0.5000  2 F 2.10
Rh 0.5000 0.0000 0.0000  2 F 2.10
F 0.0000 0.0000 0.0000  6 Rh 2.10

---

(6)
This record from Alexandria via LeMat-Bulk describes crystalline NiRh2F11 at its relaxed geometry. The functional is GGA+U.

## Properties
- Spin magnetization: 10.0 μB/cell
- N(E_F): 9.38 states/eV/f.u.
- Uncorrected energy: -116.9 eV/cell
- Space-group type: Ibam

Lattice parameters (Å, degrees): 7.9812 8.4867 8.4867 78.34 61.95 61.95
With the nearest neighbours (Å) after each atom.
Sites, in units of the cell vectors:
Ni 0.7500 0.7500 0.7500  4 F 1.96
Ni 0.2500 0.2500 0.2500  4 F 1.96
Rh 0.7200 0.5892 0.4108  6 F 1.87-2.00
Rh 0.2800 0.4108 0.5892  6 F 1.87-2.00
Rh 0.7800 0.0892 0.9108  6 F 1.87-2.00
Rh 0.2200 0.9108 0.0892  6 F 1.87-2.00
F 0.6871 0.6033 0.6548  1 Ni 1.96, 1 Rh 1.98
F 0.3129 0.3967 0.3452  1 Ni 1.96, 1 Rh 1.98
F 0.0548 0.6548 0.6033  1 Ni 1.96, 1 Rh 1.98
F 0.8129 0.8452 0.8967  1 Ni 1.96, 1 Rh 1.98
F 0.9452 0.3452 0.3967  1 Ni 1.96, 1 Rh 1.98
F 0.1871 0.1548 0.1033  1 Ni 1.96, 1 Rh 1.98
F 0.4452 0.8967 0.8452  1 Ni 1.96, 1 Rh 1.98
F 0.5548 0.1033 0.1548  1 Ni 1.96, 1 Rh 1.98
F 0.5000 0.5000 0.5000  2 Rh 2.00
F 0.0000 0.0000 0.0000  2 Rh 2.00
F 0.9269 0.6716 0.3284  1 Rh 1.87
F 0.0731 0.3284 0.6716  1 Rh 1.87
F 0.5731 0.1716 0.8284  1 Rh 1.87
F 0.4269 0.8284 0.1716  1 Rh 1.87
F 0.5081 0.8233 0.4430  1 Rh 1.87
F 0.4919 0.1767 0.5570  1 Rh 1.87
F 0.2256 0.4430 0.8233  1 Rh 1.87
F 0.9919 0.0570 0.6767  1 Rh 1.87
F 0.7744 0.5570 0.1767  1 Rh 1.87
F 0.0081 0.9430 0.3233  1 Rh 1.87
F 0.2744 0.6767 0.0570  1 Rh 1.87
F 0.7256 0.3233 0.9430  1 Rh 1.87

---

(7)
This record from Alexandria via LeMat-Bulk describes crystalline NiRh2F2 at its relaxed geometry. The functional is GGA+U.

## Properties
- Spin magnetization: 4.9 μB/cell
- Energy above the most stable polymorph in this dataset: 0 meV per atom
- N(E_F): 2.66 states/eV/f.u.
- Uncorrected energy: -21.6 eV/cell
- Space-group type: I4/mmm

Lattice parameters (Å, degrees): 3.3512 3.3512 6.1837 74.28 74.28 90.00
With the nearest neighbours (Å) after each atom.
Sites, in units of the cell vectors:
Ni 0.0000 0.0000 0.0000  8 Rh 2.69
Rh 0.3891 0.3891 0.2217  4 F 2.31, 1 Rh 2.53
Rh 0.6109 0.6109 0.7783  4 F 2.31, 1 Rh 2.53
F 0.7500 0.2500 0.5000  4 Rh 2.31, 4 F 2.37
F 0.2500 0.7500 0.5000  4 Rh 2.31, 4 F 2.37

---

(8)
This record from Alexandria via LeMat-Bulk describes crystalline NiRhF3 at its relaxed geometry. The functional is GGA+U.

## Properties
- Spin magnetization: 4.0 μB/cell
- Energy above the most stable polymorph in this dataset: 0 meV per atom
- N(E_F): 5.16 states/eV/f.u.
- Uncorrected energy: -20.8 eV/cell
- Space-group type: Pm-3m

Lattice parameters (Å, degrees): 4.0051 4.0051 4.0051 90.00 90.00 90.00
With the nearest neighbours (Å) after each atom.
Sites, in units of the cell vectors:
Ni 0.0000 0.0000 0.0000  6 F 2.00
Rh 0.5000 0.5000 0.5000  12 F 2.83
F 0.0000 0.5000 0.0000  2 Ni 2.00
F 0.0000 0.0000 0.5000  2 Ni 2.00
F 0.5000 0.0000 0.0000  2 Ni 2.00